Density functional theory data (meta-GGA SCAN) for KCo2Pt at its PBEsol-relaxed geometry.

POSCAR file:
```
KCo2Pt
1.0
-1.180 -0.223 -2.328
-3.995 -1.705 2.189
-0.541 4.830 -0.189
Co Pt K
2 1 1
direct
0.000 0.000 0.500
0.000 0.500 0.000
0.500 0.500 0.500
0.500 0.000 0.000
```

Density functional theory data (meta-GGA SCAN) for K3CoPt at its PBEsol-relaxed geometry.

POSCAR file:
```
K3CoPt
1.0
-0.197 -5.912 -0.948
1.444 -0.967 5.733
-5.811 -0.040 1.457
K Co Pt
3 1 1
direct
0.000 0.500 0.000
0.500 0.000 0.000
0.000 0.000 0.500
0.500 0.500 0.500
0.000 0.000 0.000
```

Density functional theory data (meta-GGA SCAN) for KCo2Pt at its PBEsol-relaxed geometry.

POSCAR file:
```
KCo2Pt
1.0
-3.054 -0.956 2.512
-1.918 -1.890 -3.050
4.234 -1.801 1.167
Pt K Co
1 1 2
direct
0.250 0.750 0.500
0.500 0.500 0.000
0.000 0.000 0.000
0.750 0.250 0.500
```

Density functional theory data (meta-GGA SCAN) for K2RbCo at its PBEsol-relaxed geometry.

POSCAR file:
```
K2RbCo
1.0
6.184 0.000 0.000
3.092 5.355 0.000
3.092 1.785 5.049
Co Rb K
1 1 2
direct
0.000 0.000 0.000
0.500 0.500 0.500
0.750 0.750 0.750
0.250 0.250 0.250
```

V per entry: 14.9, 43.0, 15.6, 41.8 Å³/atom
Uncorrected energy per entry: -27.601, -21.978, -27.356, -12.857 eV per atom